*P*
Entry from OQMD: crystalline KHoFeSe3 at its relaxed geometry (PBE-GGA).

Cell lengths 10.791, 4.112, 14.668 Å; angles 90.00, 90.00, 90.00 degrees
Space group Pnma (No. 62)
Unique sites:
1 K 0.231 0.250 0.004 [4 per cell]
2 Ho 0.009 0.750 0.255 [4 per cell]
3 Fe 0.242 0.750 0.782 [4 per cell]
4 Se 0.054 0.750 0.872 [4 per cell]
5 Se 0.078 0.250 0.380 [4 per cell]
6 Se 0.243 0.250 0.684 [4 per cell]

***

*Q*
Entry from OQMD: crystalline KHoFeSe3 at its relaxed geometry (PBE-GGA).

Cell lengths 9.078, 4.056, 9.686 Å; angles 90.00, 108.16, 90.00 degrees
Space group P2_1/m (No. 11)
Unique sites:
1 K 0.210 0.250 0.239 [2 per cell]
2 Ho 0.331 0.750 0.855 [2 per cell]
3 Fe 0.072 0.250 0.588 [2 per cell]
4 Se 0.105 0.250 0.847 [2 per cell]
5 Se 0.211 0.750 0.534 [2 per cell]
6 Se 0.457 0.750 0.160 [2 per cell]

***

Of them, the most stable is *Q* and the least stable is *P*.

***

*P*
Entry from OQMD: crystalline KHoFeTe3 at its relaxed geometry (PBE-GGA).

Cell lengths 11.452, 4.363, 15.678 Å; angles 90.00, 90.00, 90.00 degrees
Space group Pnma (No. 62)
Unique sites:
1 K 0.235 0.250 0.000 [4 per cell]
2 Ho 0.011 0.750 0.253 [4 per cell]
3 Fe 0.241 0.750 0.782 [4 per cell]
4 Te 0.052 0.750 0.876 [4 per cell]
5 Te 0.075 0.250 0.382 [4 per cell]
6 Te 0.241 0.250 0.681 [4 per cell]

***

*Q*
Entry from OQMD: crystalline KHoFeTe3 at its relaxed geometry (PBE-GGA).

Cell lengths 16.390, 4.262, 11.614 Å; angles 90.00, 90.00, 90.00 degrees
Space group Pnma (No. 62)
Unique sites:
1 K 0.233 0.250 0.029 [4 per cell]
2 Ho 0.018 0.250 0.343 [4 per cell]
3 Fe 0.009 0.750 0.075 [4 per cell]
4 Te 0.089 0.750 0.880 [4 per cell]
5 Te 0.103 0.250 0.575 [4 per cell]
6 Te 0.127 0.750 0.233 [4 per cell]

***

*R*
Entry from OQMD: crystalline KHoFeTe3 at its relaxed geometry (PBE-GGA).

Cell lengths 10.724, 4.438, 16.233 Å; angles 90.00, 90.00, 90.00 degrees
Space group Pnma (No. 62)
Unique sites:
1 K 0.049 0.250 0.176 [4 per cell]
2 Ho 0.167 0.750 0.445 [4 per cell]
3 Fe 0.152 0.250 0.628 [4 per cell]
4 Te 0.018 0.750 0.610 [4 per cell]
5 Te 0.170 0.750 0.018 [4 per cell]
6 Te 0.214 0.250 0.779 [4 per cell]

***

*S*
Entry from OQMD: crystalline KHoFeTe3 at its relaxed geometry (PBE-GGA).

Cell lengths 18.788, 4.467, 9.282 Å; angles 90.00, 103.20, 90.00 degrees
Space group C2/m (No. 12)
Unique sites:
1 K 0.144 0.000 0.067 [4 per cell]
2 Ho 0.171 0.000 0.582 [4 per cell]
3 Fe 0.012 0.500 0.719 [4 per cell]
4 Te 0.000 0.000 0.500 [2 per cell]
5 Te 0.000 0.500 0.000 [2 per cell]
6 Te 0.161 0.500 0.354 [4 per cell]
7 Te 0.162 0.500 0.797 [4 per cell]

***

Of them, the most stable is *Q* and the least stable is *S*.

***

*P*
Entry from OQMD: crystalline KHoFeTe3 at its relaxed geometry (PBE-GGA).

Cell lengths 11.469, 4.343, 15.852 Å; angles 90.00, 90.00, 90.00 degrees
Space group Pnma (No. 62)
Unique sites:
1 K 0.227 0.250 0.000 [4 per cell]
2 Ho 0.018 0.750 0.254 [4 per cell]
3 Fe 0.236 0.750 0.782 [4 per cell]
4 Te 0.047 0.750 0.874 [4 per cell]
5 Te 0.082 0.250 0.382 [4 per cell]
6 Te 0.234 0.250 0.681 [4 per cell]

***

*Q*
Entry from OQMD: crystalline KHoFeTe3 at its relaxed geometry (PBE-GGA).

Cell lengths 9.262, 4.271, 11.002 Å; angles 90.00, 110.40, 90.00 degrees
Space group P2_1/m (No. 11)
Unique sites:
1 K 0.245 0.250 0.287 [2 per cell]
2 Ho 0.323 0.750 0.855 [2 per cell]
3 Fe 0.065 0.250 0.580 [2 per cell]
4 Te 0.077 0.250 0.824 [2 per cell]
5 Te 0.234 0.750 0.552 [2 per cell]
6 Te 0.441 0.750 0.149 [2 per cell]

***

Of them, the most stable is *Q* and the least stable is *P*.

***

*P*
Entry from OQMD: crystalline LiHoFeS3 at its relaxed geometry (PBE-GGA).

Cell lengths 7.429, 3.780, 9.375 Å; angles 90.00, 101.65, 90.00 degrees
Space group P2_1/m (No. 11)
Unique sites:
1 Li 0.163 0.250 0.124 [2 per cell]
2 Ho 0.339 0.750 0.842 [2 per cell]
3 Fe 0.065 0.250 0.592 [2 per cell]
4 S 0.072 0.250 0.841 [2 per cell]
5 S 0.230 0.750 0.543 [2 per cell]
6 S 0.401 0.750 0.140 [2 per cell]

***

*Q*
Entry from OQMD: crystalline LiHoFeS3 at its relaxed geometry (PBE-GGA).

Cell lengths 3.808, 12.026, 10.428 Å; angles 90.00, 90.00, 90.00 degrees
Space group Cmcm (No. 63)
Unique sites:
1 Li 0.000 0.239 0.250 [4 per cell]
2 Ho 0.000 0.000 0.000 [4 per cell]
3 Fe 0.000 0.475 0.750 [4 per cell]
4 S 0.000 0.087 0.750 [4 per cell]
5 S 0.000 0.357 0.581 [8 per cell]

***

*R*
Entry from OQMD: crystalline LiHoFeS3 at its relaxed geometry (PBE-GGA).

Cell lengths 12.971, 3.758, 10.628 Å; angles 90.00, 90.00, 90.00 degrees
Space group Pnma (No. 62)
Unique sites:
1 Li 0.221 0.250 0.184 [4 per cell]
2 Ho 0.032 0.750 0.846 [4 per cell]
3 Fe 0.021 0.250 0.583 [4 per cell]
4 S 0.083 0.250 0.379 [4 per cell]
5 S 0.106 0.750 0.081 [4 per cell]
6 S 0.150 0.250 0.733 [4 per cell]

***

Of them, the most stable is *P* and the least stable is *Q*.